(1)
Computed, not measured: an optimized crystal structure of BaCaSc2 at the PBEsol level of DFT.

DOS at the Fermi energy ... 1.93 states/eV per atom
Calculated formation energy ... 367 meV/atom
Offset from the most stable computed form ... 119 meV per atom

```
data_BaCaSc2
_chemical_formula_sum 'Ba1 Ca1 Sc2'
_cell_length_a 4.024
_cell_length_b 4.024
_cell_length_c 8.243
_cell_angle_alpha 90.00
_cell_angle_beta 90.00
_cell_angle_gamma 90.00
_space_group_name_H-M_alt 'P 1'
_space_group_IT_number 1
loop_
_space_group_symop_operation_xyz
'x,y,z'
loop_
_atom_site_label
_atom_site_type_symbol
_atom_site_fract_x
_atom_site_fract_y
_atom_site_fract_z
Ba1 Ba 0.000 0.000 0.000
Ca1 Ca 0.000 0.000 0.500
Sc1 Sc 0.500 0.500 0.289
Sc2 Sc 0.500 0.500 0.711
```

=====

(2)
Computed, not measured: an optimized crystal structure of LiYCu3 at the PBEsol level of DFT.

DOS at the Fermi energy ... 0.31 states/eV per atom
Calculated formation energy ... 1050 meV/atom

```
data_LiYCu3
_chemical_formula_sum 'Li1 Y1 Cu3'
_cell_length_a 5.057
_cell_length_b 5.057
_cell_length_c 5.057
_cell_angle_alpha 90.00
_cell_angle_beta 90.00
_cell_angle_gamma 90.00
_space_group_name_H-M_alt 'P 1'
_space_group_IT_number 1
loop_
_space_group_symop_operation_xyz
'x,y,z'
loop_
_atom_site_label
_atom_site_type_symbol
_atom_site_fract_x
_atom_site_fract_y
_atom_site_fract_z
Li1 Li 0.000 0.000 0.000
Y1 Y 0.500 0.500 0.500
Cu1 Cu 0.000 0.500 0.500
Cu2 Cu 0.500 0.000 0.500
Cu3 Cu 0.500 0.500 0.000
```

=====

(3)
Computed, not measured: an optimized crystal structure of Os2RuBr at the PBEsol level of DFT.

DOS at the Fermi energy ... 0.95 states/eV per atom
E_form (uncorrected) ... 4.108 eV/f.u.
Offset from the most stable computed form ... 354 meV per atom

```
data_Os2RuBr
_chemical_formula_sum 'Os2 Ru1 Br1'
_cell_length_a 2.836
_cell_length_b 4.111
_cell_length_c 5.222
_cell_angle_alpha 90.00
_cell_angle_beta 104.67
_cell_angle_gamma 90.00
_space_group_name_H-M_alt 'P 1'
_space_group_IT_number 1
loop_
_space_group_symop_operation_xyz
'x,y,z'
loop_
_atom_site_label
_atom_site_type_symbol
_atom_site_fract_x
_atom_site_fract_y
_atom_site_fract_z
Os1 Os 0.130 0.000 0.250
Os2 Os 0.870 0.000 0.750
Ru1 Ru 0.500 0.500 0.000
Br1 Br 0.500 0.500 0.500
```

=====

(4)
Computed, not measured: an optimized crystal structure of Nb2BPAu at the PBEsol level of DFT.

DOS at the Fermi energy ... 0.63 states/eV per atom
Calculated formation energy ... 1104 meV/atom

```
data_Nb2BPAu
_chemical_formula_sum 'Nb2 B1 P1 Au1'
_cell_length_a 4.593
_cell_length_b 4.593
_cell_length_c 4.367
_cell_angle_alpha 90.00
_cell_angle_beta 90.00
_cell_angle_gamma 90.00
_space_group_name_H-M_alt 'P 1'
_space_group_IT_number 1
loop_
_space_group_symop_operation_xyz
'x,y,z'
loop_
_atom_site_label
_atom_site_type_symbol
_atom_site_fract_x
_atom_site_fract_y
_atom_site_fract_z
Nb1 Nb 0.000 0.500 0.000
Nb2 Nb 0.500 0.000 0.000
B1 B 0.000 0.000 0.500
P1 P 0.500 0.500 0.000
Au1 Au 0.500 0.500 0.500
```

=====

Look up the DOS at the Fermi energy of the third one.
0.95 states/eV per atom